Er2Ga4Cu3Au: relaxed, PBE-GGA.

Calculated values
Total magnetic moment (μB per formula unit): 0.00
Crystal system: tetragonal
E_form (meV per atom): -455

Cell: 4.1394 4.1394 10.3168 Å, 90.00 90.00 90.00°
Closest atoms and distances in Å follow each position.
Sites, in units of the cell vectors:
Ga 0.5000 0.0000 0.6442  3 Cu 2.34-2.55, 2 Au 2.55
Cu 0.0000 0.0000 0.5000  4 Ga 2.55
Ga 0.0000 0.5000 0.3558  3 Cu 2.34-2.55, 2 Au 2.55
Ga 0.5000 0.5000 0.0000  4 Cu 2.46
Cu 0.0000 0.5000 0.1292  5 Ga 2.34-2.46
Er 0.0000 0.5000 0.7548  8 Ga 3.14-3.27, 6 Cu 3.16-3.35, 2 Au 3.35
Ga 0.0000 0.0000 0.0000  4 Cu 2.46
Cu 0.5000 0.0000 0.8708  5 Ga 2.34-2.46
Au 0.5000 0.5000 0.5000  4 Ga 2.55
Er 0.5000 0.0000 0.2452  8 Ga 3.14-3.27, 6 Cu 3.16-3.35, 2 Au 3.35